KPt2Pb (GGA-PBE, relaxed); calculated volume = 21.4 Å³/atom; energy relative to the elements = 0.203 eV per atom; energy = -4.02 eV per atom
1.0
5.458 0.015 0.000
1.970 5.090 0.000
-3.714 -2.553 3.079
Pt Pb K
2 1 1
Direct
0.250 0.750 0.500
0.000 0.000 0.000
0.750 0.250 0.500
0.500 0.500 0.000